# BeV

BeV after structural relaxation (GGA-PBE, Alexandria).

```
BeV
1.0
-3.567 4.132 -4.812
-5.137 -5.121 -0.589
-3.721 3.108 5.427
Be V
8 8
direct
0.191 0.191 0.191
0.191 0.809 0.809
0.809 0.191 0.809
0.809 0.809 0.191
0.691 0.691 0.691
0.691 0.309 0.309
0.309 0.691 0.309
0.309 0.309 0.691
0.383 0.383 0.383
0.383 0.617 0.617
0.617 0.383 0.617
0.617 0.617 0.383
0.883 0.883 0.883
0.883 0.117 0.117
0.117 0.883 0.117
0.117 0.117 0.883
```

Properties
As for the energy: -0.34551 Ry per atom. The density of states at the Fermi level comes out at 15.24 states/eV per cell. Its formation energy is 1.72 eV per atom. As for the space group: No. 217. The calculation puts the volume at 385.38 Å³ per cell.

***

# BeV

BeV after structural relaxation (GGA-PBE, Alexandria).

```
BeV
1.0
-0.980 -2.595 -0.067
2.774 -1.093 1.753
-1.717 1.973 3.949
Be V
2 2
direct
0.560 0.250 0.128
0.440 0.750 0.872
0.843 0.250 0.673
0.157 0.750 0.327
```

Properties
As for the energy: -0.47618 Ry per atom. The density of states at the Fermi level comes out at 2.57 states/eV per cell. Its formation energy is -0.06 eV per atom. As for the space group: No. 11. The calculation puts the volume at 43.61 Å³ per cell.

***

# BeV5

BeV5 after structural relaxation (GGA-PBE, Alexandria).

```
BeV5
1.0
3.125 0.000 0.000
0.000 3.922 0.000
0.000 -1.961 6.174
Be V
1 5
direct
0.000 0.000 0.000
0.000 0.659 0.318
0.000 0.341 0.682
0.500 0.500 0.000
0.500 0.162 0.323
0.500 0.838 0.677
```

Properties
As for the energy: -0.60303 Ry per atom. The density of states at the Fermi level comes out at 7.89 states/eV per cell. Its formation energy is 0.02 eV per atom. As for the space group: No. 65. The calculation puts the volume at 75.66 Å³ per cell.

***

# BeV

BeV after structural relaxation (GGA-PBE, Alexandria).

```
BeV
1.0
-1.752 1.035 1.651
-2.632 -2.994 -0.916
3.019 -4.497 6.023
Be V
4 4
direct
0.000 0.250 0.351
0.000 0.750 0.649
0.500 0.750 0.851
0.500 0.250 0.149
0.000 0.250 0.886
0.000 0.750 0.114
0.500 0.750 0.386
0.500 0.250 0.614
```

Properties
As for the energy: -0.47392 Ry per atom. The density of states at the Fermi level comes out at 3.67 states/eV per cell. Its formation energy is -0.03 eV per atom. As for the space group: No. 74. The calculation puts the volume at 86.80 Å³ per cell.

***

# Be8V3W

Be8V3W after structural relaxation (GGA-PBE, Alexandria).

```
Be8V3W
1.0
-1.876 -3.691 1.448
3.465 1.672 2.108
-4.356 3.830 4.121
Be V W
8 3 1
direct
0.333 0.667 0.499
0.333 0.667 0.002
0.504 0.009 0.751
0.504 0.496 0.751
0.991 0.496 0.751
0.162 0.324 0.249
0.162 0.838 0.249
0.676 0.838 0.249
0.667 0.333 0.432
0.667 0.333 0.068
0.000 0.000 0.935
0.000 0.000 0.565
```

Properties
As for the energy: -0.44800 Ry per atom. The density of states at the Fermi level comes out at 6.92 states/eV per cell. Its formation energy is -0.25 eV per atom. As for the space group: No. 156. The calculation puts the volume at 118.57 Å³ per cell.

***

# Be2VW

Be2VW after structural relaxation (GGA-PBE, Alexandria).

```
Be2VW
1.0
6.239 0.000 0.000
0.000 6.239 0.000
3.120 3.120 2.493
Be W V
4 2 2
direct
0.617 0.125 0.250
0.133 0.625 0.250
0.375 0.383 0.750
0.875 0.867 0.750
0.000 0.000 0.000
0.750 0.250 0.500
0.500 0.500 0.000
0.250 0.750 0.500
```

Properties
As for the energy: -0.51027 Ry per atom. The density of states at the Fermi level comes out at 5.08 states/eV per cell. The calculation puts the energy above the most stable polymorph in this dataset at 421 meV per atom. Its formation energy is 0.44 eV per atom. As for the space group: No. 122. The calculation puts the volume at 97.07 Å³ per cell.

***

# BeV2W

BeV2W after structural relaxation (GGA-PBE, Alexandria).

```
BeV2W
1.0
-2.197 -1.384 -1.641
-0.928 -1.504 2.512
-3.475 4.117 1.181
Be W V
1 1 2
direct
0.500 0.500 0.000
0.500 0.500 0.500
0.000 0.000 0.770
0.000 0.000 0.230
```

Properties
As for the energy: -0.64336 Ry per atom. The density of states at the Fermi level comes out at 2.54 states/eV per cell. Its formation energy is -0.02 eV per atom. As for the space group: No. 123. The calculation puts the volume at 52.03 Å³ per cell.

***

# BeV2W

BeV2W after structural relaxation (GGA-PBE, Alexandria).

```
BeV2W
1.0
-4.107 2.509 4.745
-4.830 0.877 -4.645
-5.286 -0.477 0.490
Be W V
2 2 4
direct
0.500 0.500 0.000
0.250 0.750 0.500
0.000 0.000 0.000
0.750 0.250 0.500
0.589 0.125 0.250
0.161 0.625 0.250
0.375 0.411 0.750
0.875 0.839 0.750
```

Properties
As for the energy: -0.60128 Ry per atom. The density of states at the Fermi level comes out at 6.42 states/eV per cell. Its formation energy is 0.55 eV per atom. As for the space group: No. 122. The calculation puts the volume at 107.81 Å³ per cell.